# 1
# CdCoGeMo, optimized geometry, DFT PBE-GGA
# Theoretical density: 9.20 g cm⁻³
# Offset from the most stable computed form: 0 kJ/mol of formula units
# Magnetic moment: 0.2 μB/f.u.
# Crystal system: cubic
# Volume: 245.36 Å³/cell
data_CdCoGeMo
_space_group_name_H-M_alt 'F -4 3 m'
_space_group_IT_number 216
_space_group_name_Hall 'F -4 2 3'
_cell_length_a 6.260
_cell_length_b 6.260
_cell_length_c 6.260
_cell_angle_alpha 90.00
_cell_angle_beta 90.00
_cell_angle_gamma 90.00
loop_
_atom_site_label
_atom_site_fract_x
_atom_site_fract_y
_atom_site_fract_z
Cd1 0.000 0.000 0.000
Co1 0.250 0.250 0.750
Ge1 0.000 0.000 0.500
Mo1 0.250 0.250 0.250

# 2
# TbNd2Cd3Ag3, optimized geometry, DFT PBE-GGA
# Theoretical density: 8.40 g cm⁻³
# Magnetic moment: 0.0 μB/f.u.
# Crystal system: orthorhombic
# Volume: 437.94 Å³/cell
# Energy relative to the elements: -335.7 meV/atom
data_TbNd2Cd3Ag3
_space_group_name_H-M_alt 'A m m 2'
_space_group_IT_number 38
_cell_length_a 3.992
_cell_length_b 13.766
_cell_length_c 7.969
_cell_angle_alpha 90.00
_cell_angle_beta 90.00
_cell_angle_gamma 90.00
loop_
_space_group_symop_operation_xyz
'x,y,z'
'-x,-y,z'
'-x,y,z'
'x,-y,z'
'x,y+1/2,z+1/2'
'-x,-y+1/2,z+1/2'
'-x,y+1/2,z+1/2'
'x,-y+1/2,z+1/2'
loop_
_atom_site_label
_atom_site_fract_x
_atom_site_fract_y
_atom_site_fract_z
Tb1 0.000 0.000 0.000
Nd1 0.000 0.203 0.608
Cd1 0.500 0.000 0.667
Cd2 0.500 0.129 0.274
Ag1 0.000 0.000 0.403
Ag2 0.500 0.164 0.907

# 3
# GdZn3F, optimized geometry, DFT PBE-GGA
# Theoretical density: 6.59 g cm⁻³
# Magnetic moment: 0.0 μB/f.u.
# Crystal system: cubic
# Volume: 93.85 Å³/cell
# Total energy: -2.50 eV per atom
data_GdZn3F
_space_group_name_H-M_alt 'P m -3 m'
_space_group_IT_number 221
_space_group_name_Hall '-P 4 2 3'
_cell_length_a 4.544
_cell_length_b 4.544
_cell_length_c 4.544
_cell_angle_alpha 90.00
_cell_angle_beta 90.00
_cell_angle_gamma 90.00
loop_
_atom_site_label
_atom_site_fract_x
_atom_site_fract_y
_atom_site_fract_z
Gd1 0.000 0.000 0.000
Zn1 0.000 0.500 0.500
F1 0.500 0.500 0.500

# 4
# PmScHg6, optimized geometry, DFT PBE-GGA
# Theoretical density: 12.37 g cm⁻³
# Magnetic moment: 0.0 μB/f.u.
# Crystal system: orthorhombic
# Volume: 374.12 Å³/cell
# Energy relative to the elements: -295.7 meV/atom
data_PmScHg6
_space_group_name_H-M_alt 'A m m 2'
_space_group_IT_number 38
_cell_length_a 4.969
_cell_length_b 6.592
_cell_length_c 11.423
_cell_angle_alpha 90.00
_cell_angle_beta 90.00
_cell_angle_gamma 90.00
loop_
_space_group_symop_operation_xyz
'x,y,z'
'-x,-y,z'
'-x,y,z'
'x,-y,z'
'x,y+1/2,z+1/2'
'-x,-y+1/2,z+1/2'
'-x,y+1/2,z+1/2'
'x,-y+1/2,z+1/2'
loop_
_atom_site_label
_atom_site_fract_x
_atom_site_fract_y
_atom_site_fract_z
Pm1 0.000 0.000 0.000
Sc1 0.500 0.000 0.335
Hg1 0.000 0.000 0.497
Hg2 0.000 0.243 0.253
Hg3 0.500 0.000 0.829
Hg4 0.500 0.245 0.586

# 5
# AcLuO3, optimized geometry, DFT PBE-GGA
# Theoretical density: 9.93 g cm⁻³
# Magnetic moment: 0.0 μB/f.u.
# Crystal system: orthorhombic
# Volume: 301.00 Å³/cell
# Total energy: -8.23 eV per atom
data_AcLuO3
_space_group_name_H-M_alt 'P n m a'
_space_group_IT_number 62
_cell_length_a 6.047
_cell_length_b 8.429
_cell_length_c 5.905
_cell_angle_alpha 90.00
_cell_angle_beta 90.00
_cell_angle_gamma 90.00
loop_
_space_group_symop_operation_xyz
'x,y,z'
'-x,-y,-z'
'-x+1/2,-y,z+1/2'
'x+1/2,y,-z+1/2'
'x+1/2,-y+1/2,-z+1/2'
'-x+1/2,y+1/2,z+1/2'
'-x,y+1/2,-z'
'x,-y+1/2,z'
loop_
_atom_site_label
_atom_site_fract_x
_atom_site_fract_y
_atom_site_fract_z
Ac1 0.045 0.250 0.010
Lu1 0.000 0.000 0.500
O1 0.039 0.750 0.398
O2 0.201 0.554 0.800

# 6
# TbHo2Co2B2N3, optimized geometry, DFT PBE-GGA
# Theoretical density: 9.34 g cm⁻³
# Magnetic moment: 0.0 μB/f.u.
# Crystal system: tetragonal
# Volume: 238.47 Å³/cell
# Total energy: -7.86 eV per atom
data_TbHo2Co2B2N3
_space_group_name_H-M_alt 'I 4/m m m'
_space_group_IT_number 139
_space_group_name_Hall '-I 4 2'
_cell_length_a 3.462
_cell_length_b 3.462
_cell_length_c 19.893
_cell_angle_alpha 90.00
_cell_angle_beta 90.00
_cell_angle_gamma 90.00
loop_
_atom_site_label
_atom_site_fract_x
_atom_site_fract_y
_atom_site_fract_z
Tb1 0.000 0.000 0.000
Ho1 0.000 0.000 0.376
Co1 0.000 0.500 0.250
B1 0.000 0.000 0.194
N1 0.000 0.000 0.118
N2 0.000 0.000 0.500

# 7
# LiNbAlCu, optimized geometry, DFT PBE-GGA
# Theoretical density: 5.59 g cm⁻³
# Offset from the most stable computed form: 0 kJ/mol of formula units
# Magnetic moment: 0.0 μB/f.u.
# Crystal system: cubic
# Volume: 226.13 Å³/cell
data_LiNbAlCu
_space_group_name_H-M_alt 'F -4 3 m'
_space_group_IT_number 216
_space_group_name_Hall 'F -4 2 3'
_cell_length_a 6.092
_cell_length_b 6.092
_cell_length_c 6.092
_cell_angle_alpha 90.00
_cell_angle_beta 90.00
_cell_angle_gamma 90.00
loop_
_atom_site_label
_atom_site_fract_x
_atom_site_fract_y
_atom_site_fract_z
Li1 0.000 0.000 0.000
Nb1 0.250 0.250 0.750
Al1 0.250 0.250 0.250
Cu1 0.000 0.000 0.500

# 8
# PmBiO2F2, optimized geometry, DFT PBE-GGA
# Theoretical density: 8.37 g cm⁻³
# Magnetic moment: 0.0 μB/f.u.
# Crystal system: tetragonal
# Volume: 84.10 Å³/cell
# Total energy: -6.51 eV per atom
data_PmBiO2F2
_space_group_name_H-M_alt 'P 4 m m'
_space_group_IT_number 99
_cell_length_a 3.744
_cell_length_b 3.744
_cell_length_c 5.999
_cell_angle_alpha 90.00
_cell_angle_beta 90.00
_cell_angle_gamma 90.00
loop_
_space_group_symop_operation_xyz
'x,y,z'
'-y,x,z'
'-x,-y,z'
'y,-x,z'
'-x,y,z'
'y,x,z'
'x,-y,z'
'-y,-x,z'
loop_
_atom_site_label
_atom_site_fract_x
_atom_site_fract_y
_atom_site_fract_z
Pm1 0.000 0.000 0.000
Bi1 0.500 0.500 0.425
O1 0.000 0.500 0.225
F1 0.000 0.000 0.617
F2 0.500 0.500 0.880

# 9
# PrBiPO, optimized geometry, DFT PBE-GGA
# Theoretical density: 6.37 g cm⁻³
# Offset from the most stable computed form: 34 kJ/mol of formula units
# Magnetic moment: 0.0 μB/f.u.
# Crystal system: orthorhombic
# Volume: 206.81 Å³/cell
data_PrBiPO
_space_group_name_H-M_alt 'P m c 21'
_space_group_IT_number 26
_cell_length_a 4.151
_cell_length_b 8.155
_cell_length_c 6.110
_cell_angle_alpha 90.00
_cell_angle_beta 90.00
_cell_angle_gamma 90.00
loop_
_space_group_symop_operation_xyz
'x,y,z'
'-x,-y,z+1/2'
'-x,y,z'
'x,-y,z+1/2'
loop_
_atom_site_label
_atom_site_fract_x
_atom_site_fract_y
_atom_site_fract_z
Pr1 0.000 0.180 0.000
Bi1 0.500 0.391 0.543
P1 0.000 0.175 0.491
O1 0.500 0.264 0.909

# 10
# Er2SbBrCl, optimized geometry, DFT PBE-GGA
# Theoretical density: 5.91 g cm⁻³
# Magnetic moment: 0.0 μB/f.u.
# Crystal system: trigonal
# Volume: 160.65 Å³/cell
# Total energy: -4.85 eV per atom
data_Er2SbBrCl
_space_group_name_H-M_alt 'P 3 m 1'
_space_group_IT_number 156
_cell_length_a 4.1576
_cell_length_b 4.1576
_cell_length_c 10.7312
_cell_angle_alpha 90.00
_cell_angle_beta 90.00
_cell_angle_gamma 120.00
loop_
_space_group_symop_operation_xyz
'x,y,z'
'-y,x-y,z'
'-x+y,-x,z'
'-y,-x,z'
'-x+y,y,z'
'x,x-y,z'
loop_
_atom_site_label
_atom_site_fract_x
_atom_site_fract_y
_atom_site_fract_z
Er1 0.0000 0.0000 0.0000
Er2 0.3333 0.6667 0.6756
Sb1 0.6667 0.3333 0.8379
Br1 0.0000 0.0000 0.5157
Cl1 0.3333 0.6667 0.1406

# 11
# DyTmIn4Cu2, optimized geometry, DFT PBE-GGA
# Theoretical density: 8.89 g cm⁻³
# Magnetic moment: 0.0 μB/f.u.
# Crystal system: orthorhombic
# Volume: 342.82 Å³/cell
# Total energy: -3.75 eV per atom
data_DyTmIn4Cu2
_space_group_name_H-M_alt 'A m m 2'
_space_group_IT_number 38
_cell_length_a 7.329
_cell_length_b 4.373
_cell_length_c 10.698
_cell_angle_alpha 90.00
_cell_angle_beta 90.00
_cell_angle_gamma 90.00
loop_
_space_group_symop_operation_xyz
'x,y,z'
'-x,-y,z'
'-x,y,z'
'x,-y,z'
'x,y+1/2,z+1/2'
'-x,-y+1/2,z+1/2'
'-x,y+1/2,z+1/2'
'x,-y+1/2,z+1/2'
loop_
_atom_site_label
_atom_site_fract_x
_atom_site_fract_y
_atom_site_fract_z
Dy1 0.000 0.000 0.000
Tm1 0.500 0.000 0.141
In1 0.203 0.000 0.708
In2 0.299 0.000 0.433
Cu1 0.000 0.000 0.283
Cu2 0.500 0.000 0.859

# 12
# LiNp2S3, optimized geometry, DFT PBE-GGA
# Theoretical density: 7.65 g cm⁻³
# Magnetic moment: 8.7 μB/f.u.
# Crystal system: orthorhombic
# Volume: 250.42 Å³/cell
# Total energy: -8.07 eV per atom
data_LiNp2S3
_space_group_name_H-M_alt 'I m m m'
_space_group_IT_number 71
_space_group_name_Hall '-I 2 2'
_cell_length_a 3.878
_cell_length_b 5.486
_cell_length_c 11.771
_cell_angle_alpha 90.00
_cell_angle_beta 90.00
_cell_angle_gamma 90.00
loop_
_atom_site_label
_atom_site_fract_x
_atom_site_fract_y
_atom_site_fract_z
Li1 0.000 0.000 0.000
Np1 0.000 0.000 0.335
S1 0.000 0.500 0.000
S2 0.000 0.500 0.333

# 13
# Nd2GdGe3PdPt2, optimized geometry, DFT PBE-GGA
# Theoretical density: 10.28 g cm⁻³
# Magnetic moment: 0.0 μB/f.u.
# Crystal system: orthorhombic
# Volume: 374.81 Å³/cell
# Total energy: -6.00 eV per atom
data_Nd2GdGe3PdPt2
_space_group_name_H-M_alt 'A m m 2'
_space_group_IT_number 38
_cell_length_a 4.001
_cell_length_b 12.713
_cell_length_c 7.368
_cell_angle_alpha 90.00
_cell_angle_beta 90.00
_cell_angle_gamma 90.00
loop_
_space_group_symop_operation_xyz
'x,y,z'
'-x,-y,z'
'-x,y,z'
'x,-y,z'
'x,y+1/2,z+1/2'
'-x,-y+1/2,z+1/2'
'-x,y+1/2,z+1/2'
'x,-y+1/2,z+1/2'
loop_
_atom_site_label
_atom_site_fract_x
_atom_site_fract_y
_atom_site_fract_z
Nd1 0.000 0.204 0.000
Gd1 0.000 0.000 0.388
Ge1 0.500 0.000 0.047
Ge2 0.500 0.124 0.668
Pd1 0.000 0.000 0.790
Pt1 0.500 0.163 0.297

# 14
# BaCdPd, optimized geometry, DFT PBE-GGA
# Theoretical density: 5.43 g cm⁻³
# Crystal system: cubic
# Volume: 436.01 Å³/cell
# Total energy: -2.57 eV per atom
data_BaCdPd
_space_group_name_H-M_alt 'F -4 3 m'
_space_group_IT_number 216
_space_group_name_Hall 'F -4 2 3'
_cell_length_a 7.583
_cell_length_b 7.583
_cell_length_c 7.583
_cell_angle_alpha 90.00
_cell_angle_beta 90.00
_cell_angle_gamma 90.00
loop_
_atom_site_label
_atom_site_fract_x
_atom_site_fract_y
_atom_site_fract_z
Ba1 0.000 0.000 0.000
Cd1 0.250 0.250 0.750
Pd1 0.250 0.250 0.250

# 15
# HfIr3C4, optimized geometry, DFT PBE-GGA
# Theoretical density: 13.56 g cm⁻³
# Magnetic moment: 0.0 μB/f.u.
# Crystal system: hexagonal
# Volume: 196.64 Å³/cell
# Total energy: -8.63 eV per atom
data_HfIr3C4
_space_group_name_H-M_alt 'P 63/m'
_space_group_IT_number 176
_space_group_name_Hall '-P 6c'
_cell_length_a 8.8722
_cell_length_b 8.8722
_cell_length_c 2.8846
_cell_angle_alpha 90.00
_cell_angle_beta 90.00
_cell_angle_gamma 120.00
loop_
_atom_site_label
_atom_site_fract_x
_atom_site_fract_y
_atom_site_fract_z
Hf1 0.3333 0.6667 0.2500
Ir1 0.0148 0.7067 0.2500
C1 0.0000 0.0000 0.0000
C2 0.1889 0.7513 0.7500

# 16
# DySiB, optimized geometry, DFT PBE-GGA
# Theoretical density: 5.48 g cm⁻³
# Offset from the most stable computed form: 202 kJ/mol of formula units
# Magnetic moment: 0.0 μB/f.u.
# Crystal system: cubic
# Volume: 244.29 Å³/cell
data_DySiB
_space_group_name_H-M_alt 'F -4 3 m'
_space_group_IT_number 216
_space_group_name_Hall 'F -4 2 3'
_cell_length_a 6.251
_cell_length_b 6.251
_cell_length_c 6.251
_cell_angle_alpha 90.00
_cell_angle_beta 90.00
_cell_angle_gamma 90.00
loop_
_atom_site_label
_atom_site_fract_x
_atom_site_fract_y
_atom_site_fract_z
Dy1 0.000 0.000 0.000
Si1 0.250 0.250 0.250
B1 0.250 0.250 0.750

# 17
# MgTaSbMo, optimized geometry, DFT PBE-GGA
# Theoretical density: 9.83 g cm⁻³
# Offset from the most stable computed form: 0 kJ/mol of formula units
# Magnetic moment: 0.0 μB/f.u.
# Crystal system: cubic
# Volume: 285.67 Å³/cell
data_MgTaSbMo
_space_group_name_H-M_alt 'F -4 3 m'
_space_group_IT_number 216
_space_group_name_Hall 'F -4 2 3'
_cell_length_a 6.586
_cell_length_b 6.586
_cell_length_c 6.586
_cell_angle_alpha 90.00
_cell_angle_beta 90.00
_cell_angle_gamma 90.00
loop_
_atom_site_label
_atom_site_fract_x
_atom_site_fract_y
_atom_site_fract_z
Mg1 0.000 0.000 0.000
Ta1 0.250 0.250 0.250
Sb1 0.250 0.250 0.750
Mo1 0.000 0.000 0.500

# 18
# PrNi2SbN, optimized geometry, DFT PBE-GGA
# Theoretical density: 8.24 g cm⁻³
# Magnetic moment: 0.0 μB/f.u.
# Crystal system: tetragonal
# Volume: 158.86 Å³/cell
# Total energy: -6.08 eV per atom
data_PrNi2SbN
_space_group_name_H-M_alt 'P 4/n m m'
_space_group_IT_number 129
_cell_length_a 4.044
_cell_length_b 4.044
_cell_length_c 9.715
_cell_angle_alpha 90.00
_cell_angle_beta 90.00
_cell_angle_gamma 90.00
loop_
_space_group_symop_operation_xyz
'x,y,z'
'-x,-y,-z'
'-y+1/2,x,z'
'y+1/2,-x,-z'
'-x+1/2,-y+1/2,z'
'x+1/2,y+1/2,-z'
'y,-x+1/2,z'
'-y,x+1/2,-z'
'x+1/2,-y,-z'
'-x+1/2,y,z'
'-y,-x,-z'
'y,x,z'
'-x,y+1/2,-z'
'x,-y+1/2,z'
'y+1/2,x+1/2,-z'
'-y+1/2,-x+1/2,z'
loop_
_atom_site_label
_atom_site_fract_x
_atom_site_fract_y
_atom_site_fract_z
Pr1 0.250 0.250 0.192
Ni1 0.250 0.250 0.920
Ni2 0.250 0.750 0.500
Sb1 0.250 0.250 0.650
N1 0.250 0.750 0.000

# 19
# AlAuSeO, optimized geometry, DFT PBE-GGA
# Theoretical density: 6.88 g cm⁻³
# Offset from the most stable computed form: 72 kJ/mol of formula units
# Crystal system: orthorhombic
# Volume: 153.92 Å³/cell
data_AlAuSeO
_space_group_name_H-M_alt 'P m c 21'
_space_group_IT_number 26
_cell_length_a 3.794
_cell_length_b 7.458
_cell_length_c 5.440
_cell_angle_alpha 90.00
_cell_angle_beta 90.00
_cell_angle_gamma 90.00
loop_
_space_group_symop_operation_xyz
'x,y,z'
'-x,-y,z+1/2'
'-x,y,z'
'x,-y,z+1/2'
loop_
_atom_site_label
_atom_site_fract_x
_atom_site_fract_y
_atom_site_fract_z
Al1 0.000 0.118 0.000
Au1 0.500 0.315 0.563
Se1 0.500 0.317 0.085
O1 0.000 0.066 0.691